a:
First-principles (PBE) data for crystalline HfZr2Ni4Bi4 at its relaxed geometry, as listed in the Open Quantum Materials Database.

```
HfZr2Ni4Bi4
1.0
-3.115 3.115 6.153
3.115 -3.115 6.153
3.115 3.115 -6.153
Hf Zr Ni Bi
1 2 4 4
Direct
0.000 0.000 0.000 Hf
0.250 0.750 0.500 Zr
0.750 0.250 0.500 Zr
0.105 0.105 0.467 Ni
0.362 0.895 0.000 Ni
0.638 0.638 0.533 Ni
0.895 0.362 0.000 Ni
0.000 0.500 0.500 Bi
0.268 0.268 0.000 Bi
0.500 0.000 0.500 Bi
0.732 0.732 0.000 Bi
```

b:
First-principles (PBE) data for crystalline HfZr2Ni4Bi4 at its relaxed geometry, as listed in the Open Quantum Materials Database.

```
HfZr2Ni4Bi4
1.0
7.007 0.000 0.000
0.000 4.261 0.000
-0.493 0.000 7.595
Hf Zr Ni Bi
1 2 4 4
Direct
0.000 0.000 0.000 Hf
0.503 0.500 0.545 Zr
0.545 0.000 0.960 Zr
0.235 0.000 0.670 Ni
0.422 0.500 0.186 Ni
0.621 0.000 0.314 Ni
0.791 0.500 0.842 Ni
0.243 0.000 0.332 Bi
0.245 0.500 0.858 Bi
0.807 0.500 0.205 Bi
0.829 0.000 0.626 Bi
```

a wins, 123 meV/atom ahead of the next structure.

a:
First-principles (PBE) data for crystalline Hf2Bi2O5 at its relaxed geometry, as listed in the Open Quantum Materials Database.

```
Hf2Bi2O5
1.0
4.036 0.000 0.000
0.000 4.036 0.000
0.000 0.000 8.568
Hf Bi O
2 2 5
Direct
0.000 0.000 0.238 Hf
0.000 0.000 0.762 Hf
0.500 0.500 0.000 Bi
0.500 0.500 0.500 Bi
0.000 0.000 0.000 O
0.000 0.500 0.201 O
0.000 0.500 0.799 O
0.500 0.000 0.201 O
0.500 0.000 0.799 O
```

b:
First-principles (PBE) data for crystalline Hf2Bi2O5 at its relaxed geometry, as listed in the Open Quantum Materials Database.

```
Hf2Bi2O5
1.0
3.754 0.000 0.000
0.000 3.754 0.000
0.000 0.000 8.895
Hf Bi O
2 2 5
Direct
0.000 0.000 0.000 Hf
0.000 0.000 0.500 Hf
0.500 0.500 0.214 Bi
0.500 0.500 0.786 Bi
0.000 0.500 0.341 O
0.000 0.500 0.659 O
0.500 0.000 0.341 O
0.500 0.000 0.659 O
0.500 0.500 0.500 O
```

a wins, 1165 meV/atom ahead of the next structure.